Material: PrNpMnO6
Method: DFT, GGA+U
State: optimized geometry

a b c (Å): 5.893 5.893 8.791
angles (deg): 90.00 90.00 120.00
Element x y z (fractional)
Pr 0.333 0.667 0.250
Pr 0.667 0.333 0.750
Np 0.333 0.667 0.750
Np 0.667 0.333 0.250
Mn 0.000 0.000 0.000
Mn 0.000 0.000 0.500
O 0.047 0.366 0.628
O 0.047 0.680 0.872
O 0.320 0.366 0.872
O 0.320 0.953 0.628
O 0.366 0.047 0.128
O 0.366 0.320 0.372
O 0.634 0.680 0.628
O 0.634 0.953 0.872
O 0.680 0.047 0.372
O 0.680 0.634 0.128
O 0.953 0.320 0.128
O 0.953 0.634 0.372

Output
DFT total energy: -8.586 eV per atom